1.
TlGePtO6: relaxed, PBE.

Summary:
Energy relative to the elements, uncorrected in eV per formula unit: -7.778

CIF file:
```
data_TlGePtO6
_chemical_formula_sum 'Tl2 Ge2 Pt2 O12'
_space_group_name_H-M_alt 'P -3 1 c'
_space_group_IT_number 163
_space_group_name_Hall '-P 3 2c'
_cell_length_a 5.1833
_cell_length_b 5.1833
_cell_length_c 9.5069
_cell_angle_alpha 90.00
_cell_angle_beta 90.00
_cell_angle_gamma 120.00
loop_
_atom_site_label
_atom_site_type_symbol
_atom_site_fract_x
_atom_site_fract_y
_atom_site_fract_z
Tl1 Tl 0.0000 0.0000 0.0000
Ge1 Ge 0.3333 0.6667 0.2500
Pt1 Pt 0.3333 0.6667 0.7500
O1 O 0.0104 0.3730 0.1382
```


2.
IrBr3O: relaxed, PBE.

Summary:
Energy relative to the elements, uncorrected in eV per formula unit: 6.862
E above lowest polymorph in kJ per mole of atoms: 40.7

CIF file:
```
data_IrBr3O
_chemical_formula_sum 'Ir1 Br3 O1'
_space_group_name_H-M_alt 'P m -3 m'
_space_group_IT_number 221
_space_group_name_Hall '-P 4 2 3'
_cell_length_a 4.681
_cell_length_b 4.681
_cell_length_c 4.681
_cell_angle_alpha 90.00
_cell_angle_beta 90.00
_cell_angle_gamma 90.00
loop_
_atom_site_label
_atom_site_type_symbol
_atom_site_fract_x
_atom_site_fract_y
_atom_site_fract_z
Ir1 Ir 0.000 0.000 0.000
Br1 Br 0.000 0.500 0.500
O1 O 0.500 0.500 0.500
```


3.
CrCd2TeRh: relaxed, PBE.

Summary:
Energy relative to the elements, uncorrected in eV per formula unit: 4.643
E above lowest polymorph in kJ per mole of atoms: 0.0

CIF file:
```
data_CrCd2TeRh
_chemical_formula_sum 'Cr1 Cd2 Te1 Rh1'
_space_group_name_H-M_alt 'P 4/m m m'
_space_group_IT_number 123
_space_group_name_Hall '-P 4 2'
_cell_length_a 5.089
_cell_length_b 5.089
_cell_length_c 4.836
_cell_angle_alpha 90.00
_cell_angle_beta 90.00
_cell_angle_gamma 90.00
loop_
_atom_site_label
_atom_site_type_symbol
_atom_site_fract_x
_atom_site_fract_y
_atom_site_fract_z
Cr1 Cr 0.000 0.000 0.000
Cd1 Cd 0.000 0.500 0.000
Te1 Te 0.000 0.000 0.500
Rh1 Rh 0.500 0.500 0.500
```


4.
La2AlSe: relaxed, PBE.

Summary:
Energy relative to the elements, uncorrected in eV per formula unit: -3.974
E above lowest polymorph in kJ per mole of atoms: 17.0

CIF file:
```
data_La2AlSe
_chemical_formula_sum 'La2 Al1 Se1'
_space_group_name_H-M_alt 'P m m m'
_space_group_IT_number 47
_cell_length_a 3.623
_cell_length_b 3.636
_cell_length_c 8.176
_cell_angle_alpha 90.00
_cell_angle_beta 90.00
_cell_angle_gamma 90.00
loop_
_space_group_symop_operation_xyz
'x,y,z'
'-x,-y,-z'
'-x,-y,z'
'x,y,-z'
'x,-y,-z'
'-x,y,z'
'-x,y,-z'
'x,-y,z'
loop_
_atom_site_label
_atom_site_type_symbol
_atom_site_fract_x
_atom_site_fract_y
_atom_site_fract_z
La1 La 0.000 0.000 0.239
Al1 Al 0.500 0.500 0.500
Se1 Se 0.500 0.500 0.000
```


5.
CeNiH3: relaxed, PBE.

Summary:
E_tot in eV/f.u.: -23.867

CIF file:
```
data_CeNiH3
_chemical_formula_sum 'Ce2 Ni2 H6'
_space_group_name_H-M_alt 'P 1 21 1'
_space_group_IT_number 4
_cell_length_a 4.166
_cell_length_b 4.459
_cell_length_c 6.101
_cell_angle_alpha 90.00
_cell_angle_beta 109.95
_cell_angle_gamma 90.00
loop_
_space_group_symop_operation_xyz
'x,y,z'
'-x,y+1/2,-z'
loop_
_atom_site_label
_atom_site_type_symbol
_atom_site_fract_x
_atom_site_fract_y
_atom_site_fract_z
Ce1 Ce 0.124 0.000 0.272
Ni1 Ni 0.381 0.030 0.864
H1 H 0.017 0.503 0.143
H2 H 0.340 0.241 0.639
H3 H 0.452 0.674 0.869
```


6.
K2BaReO6: relaxed, PBE.

Summary:
Energy relative to the elements, uncorrected in eV per formula unit: -18.182

CIF file:
```
data_K2BaReO6
_chemical_formula_sum 'K2 Ba1 Re1 O6'
_space_group_name_H-M_alt 'P 1'
_space_group_IT_number 1
_cell_length_a 6.213
_cell_length_b 6.248
_cell_length_c 6.352
_cell_angle_alpha 90.89
_cell_angle_beta 118.93
_cell_angle_gamma 119.29
loop_
_space_group_symop_operation_xyz
'x,y,z'
loop_
_atom_site_label
_atom_site_type_symbol
_atom_site_fract_x
_atom_site_fract_y
_atom_site_fract_z
K1 K 0.000 0.000 0.000
K2 K 0.002 0.512 0.463
Ba1 Ba 0.489 0.244 0.734
Re1 Re 0.481 0.755 0.218
O1 O 0.068 0.590 0.059
O2 O 0.411 0.526 0.973
O3 O 0.474 0.527 0.434
O4 O 0.507 0.032 0.106
O5 O 0.539 0.909 0.537
O6 O 0.895 0.923 0.395
```


7.
LiLaTe2: relaxed, PBE.

Summary:
Energy relative to the elements, uncorrected in eV per formula unit: -3.189

CIF file:
```
data_LiLaTe2
_chemical_formula_sum 'Li4 La4 Te8'
_space_group_name_H-M_alt 'C m c m'
_space_group_IT_number 63
_space_group_name_Hall '-C 2c 2'
_cell_length_a 4.008
_cell_length_b 22.610
_cell_length_c 6.287
_cell_angle_alpha 90.00
_cell_angle_beta 90.00
_cell_angle_gamma 90.00
loop_
_atom_site_label
_atom_site_type_symbol
_atom_site_fract_x
_atom_site_fract_y
_atom_site_fract_z
Li1 Li 0.000 0.172 0.250
La1 La 0.000 0.426 0.250
Te1 Te 0.000 0.295 0.250
Te2 Te 0.000 0.431 0.750
```


8.
SrMg2Mo: relaxed, PBE.

Summary:
E above lowest polymorph in kJ per mole of atoms: 44.5
Formation enthalpy at 0 K in eV per formula unit: 3.8

CIF file:
```
data_SrMg2Mo
_chemical_formula_sum 'Sr4 Mg8 Mo4'
_space_group_name_H-M_alt 'I -4 2 d'
_space_group_IT_number 122
_space_group_name_Hall 'I -4 2bw'
_cell_length_a 4.658
_cell_length_b 4.658
_cell_length_c 21.512
_cell_angle_alpha 90.00
_cell_angle_beta 90.00
_cell_angle_gamma 90.00
loop_
_atom_site_label
_atom_site_type_symbol
_atom_site_fract_x
_atom_site_fract_y
_atom_site_fract_z
Sr1 Sr 0.000 0.000 0.000
Mg1 Mg 0.182 0.250 0.625
Mo1 Mo 0.000 0.000 0.500
```


9.
PmDyCo: relaxed, PBE.

Summary:
E above lowest polymorph in kJ per mole of atoms: 11.2
Formation enthalpy at 0 K in eV per formula unit: 0.0

CIF file:
```
data_PmDyCo
_chemical_formula_sum 'Pm4 Dy4 Co4'
_space_group_name_H-M_alt 'F -4 3 m'
_space_group_IT_number 216
_space_group_name_Hall 'F -4 2 3'
_cell_length_a 6.708
_cell_length_b 6.708
_cell_length_c 6.708
_cell_angle_alpha 90.00
_cell_angle_beta 90.00
_cell_angle_gamma 90.00
loop_
_atom_site_label
_atom_site_type_symbol
_atom_site_fract_x
_atom_site_fract_y
_atom_site_fract_z
Pm1 Pm 0.000 0.000 0.000
Dy1 Dy 0.000 0.000 0.500
Co1 Co 0.250 0.250 0.250
```


10.
Ba2MgBe: relaxed, PBE.

Summary:
E above lowest polymorph in kJ per mole of atoms: 0.1
Formation enthalpy at 0 K in eV per formula unit: 1.1

CIF file:
```
data_Ba2MgBe
_chemical_formula_sum 'Ba2 Mg1 Be1'
_space_group_name_H-M_alt 'P 1 m 1'
_space_group_IT_number 6
_cell_length_a 5.452
_cell_length_b 4.740
_cell_length_c 6.466
_cell_angle_alpha 90.00
_cell_angle_beta 114.84
_cell_angle_gamma 90.00
loop_
_space_group_symop_operation_xyz
'x,y,z'
'x,-y,z'
loop_
_atom_site_label
_atom_site_type_symbol
_atom_site_fract_x
_atom_site_fract_y
_atom_site_fract_z
Ba1 Ba 0.000 0.000 0.000
Ba2 Ba 0.298 0.500 0.597
Mg1 Mg 0.612 0.500 0.224
Be1 Be 0.697 0.000 0.399
```


11.
Be2Nb5As2: relaxed, PBE.

Summary:
Formation enthalpy at 0 K in eV per formula unit: -3.9

CIF file:
```
data_Be2Nb5As2
_chemical_formula_sum 'Be8 Nb20 As8'
_space_group_name_H-M_alt 'C m c e'
_space_group_IT_number 64
_space_group_name_Hall '-C 2ac 2'
_cell_length_a 13.063
_cell_length_b 6.655
_cell_length_c 6.562
_cell_angle_alpha 90.00
_cell_angle_beta 90.00
_cell_angle_gamma 90.00
loop_
_atom_site_label
_atom_site_type_symbol
_atom_site_fract_x
_atom_site_fract_y
_atom_site_fract_z
Be1 Be 0.000 0.115 0.117
Nb1 Nb 0.000 0.000 0.500
Nb2 Nb 0.126 0.170 0.830
As1 As 0.208 0.000 0.500
```


12.
ZrAl2W: relaxed, PBE.

Summary:
E above lowest polymorph in kJ per mole of atoms: 22.2
Formation enthalpy at 0 K in eV per formula unit: 0.2

CIF file:
```
data_ZrAl2W
_chemical_formula_sum 'Zr4 Al8 W4'
_space_group_name_H-M_alt 'F -4 3 m'
_space_group_IT_number 216
_space_group_name_Hall 'F -4 2 3'
_cell_length_a 6.501
_cell_length_b 6.501
_cell_length_c 6.501
_cell_angle_alpha 90.00
_cell_angle_beta 90.00
_cell_angle_gamma 90.00
loop_
_atom_site_label
_atom_site_type_symbol
_atom_site_fract_x
_atom_site_fract_y
_atom_site_fract_z
Zr1 Zr 0.000 0.000 0.000
Al1 Al 0.000 0.000 0.500
Al2 Al 0.250 0.250 0.750
W1 W 0.250 0.250 0.250
```


13.
TcP2Ru: relaxed, PBE.

Summary:
E above lowest polymorph in kJ per mole of atoms: 21.6
Formation enthalpy at 0 K in eV per formula unit: -0.6

CIF file:
```
data_TcP2Ru
_chemical_formula_sum 'Tc4 P8 Ru4'
_space_group_name_H-M_alt 'I -4 2 d'
_space_group_IT_number 122
_space_group_name_Hall 'I -4 2bw'
_cell_length_a 5.359
_cell_length_b 5.359
_cell_length_c 10.029
_cell_angle_alpha 90.00
_cell_angle_beta 90.00
_cell_angle_gamma 90.00
loop_
_atom_site_label
_atom_site_type_symbol
_atom_site_fract_x
_atom_site_fract_y
_atom_site_fract_z
Tc1 Tc 0.000 0.000 0.000
P1 P 0.246 0.250 0.625
Ru1 Ru 0.000 0.000 0.500
```